Entry 1:
# PBE-GGA AgMo2Os, optimized geometry
data_AgMo2Os
_cell_length_a 4.8896
_cell_length_b 4.8896
_cell_length_c 4.8896
_cell_angle_alpha 132.49
_cell_angle_beta 132.47
_cell_angle_gamma 69.47
_space_group_name_H-M_alt 'P 1'
_space_group_IT_number 1
loop_
_space_group_symop_operation_xyz
'x,y,z'
loop_
_atom_site_label
_atom_site_type_symbol
_atom_site_fract_x
_atom_site_fract_y
_atom_site_fract_z
Os1 Os 0.7500 0.2500 0.5000
Mo1 Mo 0.9999 0.9999 0.0000
Mo2 Mo 0.5001 0.5001 0.0000
Ag1 Ag 0.2500 0.7500 0.5000
# distance to the lowest polymorph of the same formula = 0.1762 eV/atom
# calculated formation energy = 0.46 eV/atom
# space group = I4/mmm, No. 139
# DOS at the Fermi energy = 3.3 states/eV/f.u.

---

Entry 2:
# PBE-GGA AgMoOs2, optimized geometry
data_AgMoOs2
_cell_length_a 4.4407
_cell_length_b 4.4407
_cell_length_c 4.4407
_cell_angle_alpha 60.00
_cell_angle_beta 60.00
_cell_angle_gamma 60.00
_space_group_name_H-M_alt 'P 1'
_space_group_IT_number 1
loop_
_space_group_symop_operation_xyz
'x,y,z'
loop_
_atom_site_label
_atom_site_type_symbol
_atom_site_fract_x
_atom_site_fract_y
_atom_site_fract_z
Os1 Os 0.7500 0.7500 0.7500
Os2 Os 0.2500 0.2500 0.2500
Ag1 Ag 0.5000 0.5000 0.5000
Mo1 Mo 0.0000 0.0000 0.0000
# distance to the lowest polymorph of the same formula = 0.3612 eV/atom
# calculated formation energy = 0.63 eV/atom
# space group = Fm-3m, No. 225
# DOS at the Fermi energy = 4.8 states/eV/f.u.